No. 1
This record from Alexandria via LeMat-Bulk describes crystalline Ca2Ce2Pb3 at its relaxed geometry. The functional is PBE-GGA.

Properties
symmetry	No. 65
energy of formation from the pure elements	-358	meV/atom
density	7.31	Mg/m³
V	223.19	Å³/f.u.

a = 17.010 Å, b = 17.010 Å, c = 3.611 Å
α = 90.00°, β = 90.00°, γ = 167.66°
Element x y z (fractional)
Ca: 0.199 0.801 0.000
Ca: 0.801 0.199 0.000
Ce: 0.067 0.933 0.000
Ce: 0.933 0.067 0.000
Pb: 0.365 0.635 0.500
Pb: 0.500 0.500 0.500
Pb: 0.635 0.365 0.500


No. 2
This record from Alexandria via LeMat-Bulk describes crystalline In2Sb2Se at its relaxed geometry. The functional is PBE-GGA.

Properties
symmetry	No. 139
polymorph energy (0 for the lowest one)	135	meV/atom
density	6.63	Mg/m³
energy relative to the elements, uncorrected	188	meV/atom
V	138.27	Å³/f.u.

a = 8.196 Å, b = 8.196 Å, c = 8.196 Å
α = 149.88°, β = 149.88°, γ = 43.12°
Element x y z (fractional)
In: 0.250 0.750 0.500
In: 0.750 0.250 0.500
Sb: 0.100 0.100 0.000
Sb: 0.900 0.900 0.000
Se: 0.500 0.500 0.000


No. 3
This record from Alexandria via LeMat-Bulk describes crystalline Tb6PmDy3 at its relaxed geometry. The functional is PBE-GGA.

Properties
symmetry	No. 36
energy of formation from the pure elements	124	meV/atom
polymorph energy (0 for the lowest one)	0	meV/atom
density	8.12	Mg/m³
V	324.30	Å³/f.u.

a = 11.572 Å, b = 11.572 Å, c = 6.394 Å
α = 90.00°, β = 90.00°, γ = 130.76°
Element x y z (fractional)
Tb: 0.015 0.985 0.500
Tb: 0.106 0.543 0.019
Tb: 0.260 0.379 0.261
Tb: 0.302 0.698 0.482
Tb: 0.379 0.260 0.761
Tb: 0.457 0.894 0.019
Tb: 0.543 0.106 0.519
Tb: 0.621 0.740 0.261
Tb: 0.698 0.302 0.982
Tb: 0.740 0.621 0.761
Tb: 0.894 0.457 0.519
Tb: 0.985 0.015 0.000
Pm: 0.161 0.839 0.698
Pm: 0.839 0.161 0.198
Dy: 0.042 0.296 0.674
Dy: 0.296 0.042 0.174
Dy: 0.419 0.581 0.785
Dy: 0.581 0.419 0.285
Dy: 0.704 0.958 0.674
Dy: 0.958 0.704 0.174


No. 4
This record from Alexandria via LeMat-Bulk describes crystalline CaSi2Se at its relaxed geometry. The functional is PBE-GGA.

Properties
symmetry	No. 10
density	3.22	Mg/m³
energy relative to the elements, uncorrected	-260	meV/atom
V	90.43	Å³/f.u.

a = 3.871 Å, b = 3.894 Å, c = 6.030 Å
α = 90.00°, β = 95.85°, γ = 90.00°
Element x y z (fractional)
Ca: 0.000 0.000 0.000
Si: 0.000 0.000 0.500
Si: 0.500 0.500 0.500
Se: 0.500 0.500 0.000


No. 5
This record from Alexandria via LeMat-Bulk describes crystalline HfBe3Re at its relaxed geometry. The functional is PBE-GGA.

Properties
symmetry	No. 221
energy of formation from the pure elements	469	meV/atom
polymorph energy (0 for the lowest one)	0	meV/atom
density	9.01	Mg/m³
V	72.23	Å³/f.u.

a = 4.165 Å, b = 4.165 Å, c = 4.165 Å
α = 90.00°, β = 90.00°, γ = 90.00°
Element x y z (fractional)
Hf: 0.000 0.000 0.000
Be: 0.000 0.500 0.500
Be: 0.500 0.000 0.500
Be: 0.500 0.500 0.000
Re: 0.500 0.500 0.500


What did the fourth record say?
This record from Alexandria via LeMat-Bulk describes crystalline CaSi2Se at its relaxed geometry. The functional is PBE-GGA.

Properties
symmetry	No. 10
density	3.22	Mg/m³
energy relative to the elements, uncorrected	-260	meV/atom
V	90.43	Å³/f.u.

a = 3.871 Å, b = 3.894 Å, c = 6.030 Å
α = 90.00°, β = 95.85°, γ = 90.00°
Element x y z (fractional)
Ca: 0.000 0.000 0.000
Si: 0.000 0.000 0.500
Si: 0.500 0.500 0.500
Se: 0.500 0.500 0.000